1.
A plane-wave DFT calculation with GGA-PBE was carried out for LiPm2Sm after structural relaxation.

## Properties
Symmetry ... P3m1, No. 156

Unit cell a=3.5545 b=3.5545 c=11.9458 alpha=90.00 beta=90.00 gamma=120.00
With the nearest neighbours (Å) after each atom.
Positions (direct):
Li (0.6667, 0.3333, 0.5239)  4 Pm 3.25-3.49, 6 Li 3.55
Pm (0.6667, 0.3333, 0.2518)  1 Li 3.25, 6 Pm 3.55, 3 Sm 3.56
Pm (0.3333, 0.6667, 0.7606)  3 Li 3.49, 6 Pm 3.55, 3 Sm 3.60
Sm (0.0000, 0.0000, 0.0086)  6 Sm 3.55, 6 Pm 3.56-3.60

=====

2.
A plane-wave DFT calculation with GGA-PBE was carried out for LaEu2Gd after structural relaxation.

## Properties
Symmetry ... P4/mmm, No. 123

Unit cell a=3.7565 b=3.7565 c=10.5543 alpha=90.00 beta=90.00 gamma=90.00
With the nearest neighbours (Å) after each atom.
Positions (direct):
Eu (0.0000, 0.0000, 0.7451)  4 Gd 3.71, 4 Eu 3.76, 4 La 3.78
Eu (0.0000, 0.0000, 0.2549)  4 Gd 3.71, 4 Eu 3.76, 4 La 3.78
Gd (0.5000, 0.5000, 0.5000)  8 Eu 3.71, 4 Gd 3.76
La (0.5000, 0.5000, 0.0000)  4 La 3.76, 8 Eu 3.78

=====

3.
A plane-wave DFT calculation with GGA-PBE was carried out for Sr3LiHf after structural relaxation.

## Properties
Symmetry ... Pm-3m, No. 221

Unit cell a=5.9369 b=5.9369 c=5.9369 alpha=90.00 beta=90.00 gamma=90.00
With the nearest neighbours (Å) after each atom.
Positions (direct):
Sr (0.0000, 0.5000, 0.0000)  2 Li 2.97
Sr (0.0000, 0.0000, 0.5000)  2 Li 2.97
Sr (0.5000, 0.0000, 0.0000)  2 Li 2.97
Hf (0.5000, 0.5000, 0.5000)  12 Sr 4.20
Li (0.0000, 0.0000, 0.0000)  6 Sr 2.97

=====

The records above give, respectively, raw total energy values of -15.62 -39.12 -12.66 eV for the cell shown.
The records above give, respectively, M_tot values of 0.00 7.04 3.00 μB/f.u..
The records above give, respectively, DOS at the Fermi energy values of 4.25 6.79 2.54 states/eV/cell.